Here is a geometry-optimized Pr2AlCu5 structure from the Alexandria database. Energies are from PBE.

```
Pr2AlCu5
1.0
6.0971 -0.0515 -0.0735
-3.0467 5.2815 0.0735
-3.0467 -1.7276 4.9915
Cu Al Pr
5 1 2
direct
0.4131 0.6968 0.6968 Cu
0.0000 0.6968 0.2837 Cu
0.0000 0.2837 0.6968 Cu
0.5869 0.2837 0.2837 Cu
0.0000 0.2885 0.2885 Cu
0.0000 0.9969 0.9969 Al
0.5000 0.2378 0.7378 Pr
0.5000 0.7378 0.2378 Pr
```

Results
Magnetic moment ... 0.000 μB/atom
E_tot ... -34.32 eV/f.u.

Here is a geometry-optimized MnRe2Sb structure from the Alexandria database. Energies are from PBE.

```
MnRe2Sb
1.0
8.7171 -0.0423 -0.0249
8.2372 2.8528 -0.0249
8.2372 1.3655 2.5049
Sb Re Mn
1 2 1
direct
0.2500 0.2500 0.2500 Sb
0.0066 0.0066 0.0066 Re
0.4934 0.4934 0.4934 Re
0.7500 0.7500 0.7500 Mn
```

Results
Magnetic moment ... 0.437 μB/atom
E_tot ... -35.99 eV/f.u.

Here is a geometry-optimized Ba2LaTlC structure from the Alexandria database. Energies are from PBE.

```
Ba2LaTlC
1.0
5.6519 0.0000 0.0000
0.0000 5.2545 0.0000
0.0000 0.0000 5.6519
Ba La C Tl
2 1 1 1
direct
0.0000 0.0000 0.5000 Ba
0.5000 0.0000 0.0000 Ba
0.5000 0.5000 0.5000 La
0.0000 0.0000 0.0000 C
0.0000 0.5000 0.0000 Tl
```

Results
Magnetic moment ... 0.122 μB/atom
E_tot ... -17.02 eV/f.u.